A relaxed structure of Th5AlTl4, computed with PBE.

Values from the calculation:
Total magnetization = 0.00 μB/atom
Raw total energy = -5.197 eV/atom

Lattice parameters (Å, degrees): 3.517 3.517 23.011 90.00 90.00 90.00
Space group P4/mmm (No. 123)
Symmetry-distinct sites (fractional):
Th: 0.000 0.000 0.000 x1
Th: 0.000 0.000 0.204 x2
Th: 0.000 0.000 0.410 x2
Al: 0.500 0.500 0.500 x1
Tl: 0.500 0.500 0.102 x2
Tl: 0.500 0.500 0.305 x2